Record 1
Computed, not measured: crystalline CsNiI2O8 at its relaxed geometry at the PBE+U level of DFT.

Properties
* size of the total moment: 1.52 μB/f.u.
* total energy: -4.356 eV/atom

Cell lengths 5.409, 5.409, 9.523 Å; angles 73.50, 73.50, 60.00 degrees
Last column: magnetic moment on the atom in μB.
Sites, in units of the cell vectors:
O 0.362 0.747 0.863  -0.03
Cs 0.500 0.500 0.500  0.00
O 0.206 0.206 0.383  0.00
O 0.638 0.253 0.137  -0.03
O 0.794 0.794 0.617  0.00
I 0.728 0.728 0.817  -0.02
I 0.272 0.272 0.183  -0.02
O 0.028 0.362 0.863  -0.03
Ni 0.000 0.000 0.000  1.77
O 0.253 0.972 0.137  -0.03
O 0.972 0.638 0.137  -0.03
O 0.747 0.028 0.863  -0.03

***

Record 2
Computed, not measured: crystalline CsNiI2O at its relaxed geometry at the PBE+U level of DFT.

Properties
* size of the total moment: 2.56 μB/f.u.
* total energy: -2.810 eV/atom

Cell lengths 6.705, 6.705, 3.570 Å; angles 90.00, 90.00, 90.00 degrees
Last column: magnetic moment on the atom in μB.
Sites, in units of the cell vectors:
I 0.000 0.500 0.000  0.12
I 0.500 0.000 0.000  0.12
Ni 0.000 0.000 0.000  1.62
O 0.000 0.000 0.500  0.49
Cs 0.500 0.500 0.500  0.00